[1]
V3Ni2Ir2: relaxed, PBE-GGA.

POSCAR file:
```
V3Ni2Ir2
1.0
-3.6361 0.2874 -0.3045
-0.0230 -2.1052 -1.7119
-2.8978 -5.7816 7.1487
V Ni Ir
3 2 2
Cartesian
-3.9366 -1.3618 1.7277
0.0000 0.0000 0.0000
-2.5973 -4.1324 5.1165
-4.5894 -5.9331 5.2072
-1.9676 -1.6663 -0.0750
-4.2980 -4.3344 3.2374
-2.2589 -3.2650 1.8949
```

Summary:
DFT total energy in eV/atom: -8.239
Energy relative to the lowest polymorph listed for this composition in meV per atom: 144
Energy relative to the elements in meV per atom: -147.4
Space-group type: No. 65

[2]
ZnInPt2: relaxed, PBE-GGA.

POSCAR file:
```
ZnInPt2
1.0
-4.3948 -1.3733 2.3720
-3.4542 -2.5272 -2.9170
5.0531 -0.4299 1.0527
In Pt Zn
1 2 1
Cartesian
-1.1834 -2.4639 -1.0698
-7.8352 -3.8936 -0.5440
-1.5955 -1.8580 1.5787
-3.9552 -1.9655 -0.2746
```

Summary:
DFT total energy in eV/atom: -4.413
Energy relative to the elements in meV per atom: -389.4
Space-group type: No. 44

[3]
La3BiO3: relaxed, PBE-GGA.

POSCAR file:
```
La3BiO3
1.0
-3.9424 1.3320 0.8761
-1.0708 2.9296 -9.2723
-2.5025 -9.1002 2.5745
La Bi O
6 2 6
Cartesian
-5.4418 -3.7220 -3.3472
-5.5315 -6.4693 0.4259
-3.9730 -2.0824 0.7694
-2.0739 -1.1166 -2.4744
-1.9842 1.6308 -6.2475
-3.5428 -2.7562 -6.5910
-4.5048 -0.0813 -4.6662
-3.0109 -4.7573 -1.1554
-4.8198 -5.6640 2.4038
-3.9360 -0.7701 -1.0592
-6.1904 -5.8396 -3.4965
-2.6959 0.8254 -8.2254
-3.5797 -4.0684 -4.7624
-1.3253 1.0011 -2.3251
```

Summary:
DFT total energy in eV/atom: -7.469
ΔE_f (raw) in eV per atom: -2.677
Space-group type: No. 176

[4]
Cd7Ga2Hg2: relaxed, PBE-GGA.

POSCAR file:
```
Cd7Ga2Hg2
1.0
-2.4032 2.5664 4.7786
-5.3351 -1.1271 -2.3373
1.0946 -6.6144 2.9822
Cd Ga Hg
7 2 2
Cartesian
-4.8190 0.5046 3.6756
-0.7072 -4.2716 4.4605
-1.8248 -5.6796 1.7479
-5.9366 -0.9034 0.9629
0.0000 0.0000 0.0000
-5.8264 -2.6146 3.7577
-0.8174 -2.5604 1.6658
-3.6543 -4.7596 3.9761
-2.9894 -0.4154 1.4473
-3.8916 -3.3052 1.3290
-2.7522 -1.8698 4.0945
```

Summary:
DFT total energy in eV/atom: -1.139
Energy relative to the lowest polymorph listed for this composition in meV per atom: 0
Energy relative to the elements in meV per atom: 48.7
Space-group type: No. 12